Entry 1:
Below is a relaxed structure of LiLaMo2, with properties calculated at the GGA-PBE level.

The structure in POSCAR format:
```
LiLaMo2
1.0
3.413 0.000 0.000
0.000 4.414 0.000
0.000 0.000 5.032
Li La Mo
1 1 2
direct
0.000 0.000 0.000 Li
0.500 0.500 0.000 La
0.000 0.500 0.500 Mo
0.500 0.000 0.500 Mo
```

total DFT energy (no corrections) = -6.541 eV/atom
calculated formation energy = 0.585 eV/atom

Entry 2:
Below is a relaxed structure of LiLaMo2, with properties calculated at the GGA-PBE level.

The structure in POSCAR format:
```
LiLaMo2
1.0
6.569 0.000 0.000
0.000 6.569 0.000
0.000 0.000 6.569
Li La Mo
4 4 8
direct
0.000 0.000 0.000 Li
0.000 0.500 0.500 Li
0.500 0.000 0.500 Li
0.500 0.500 0.000 Li
0.000 0.000 0.500 La
0.000 0.500 0.000 La
0.500 0.000 0.000 La
0.500 0.500 0.500 La
0.250 0.250 0.250 Mo
0.250 0.250 0.750 Mo
0.250 0.750 0.250 Mo
0.250 0.750 0.750 Mo
0.750 0.250 0.250 Mo
0.750 0.250 0.750 Mo
0.750 0.750 0.250 Mo
0.750 0.750 0.750 Mo
```

total DFT energy (no corrections) = -6.215 eV/atom
calculated formation energy = 0.911 eV/atom